Entry 1:
The following is a DFT calculation (GGA-PBE) of a relaxed BaLi2UCl8 crystal.

Computed properties:
**Formation energy (no corrections)**: -22.4 eV per formula unit

a b c (Å): 6.328 6.328 9.488
angles (deg): 90.00 90.00 120.00
Atoms (fractional coordinates):
Ba1 0.000 0.000 0.000
Li1 0.333 0.667 0.759
Li2 0.667 0.333 0.241
U1 0.000 0.000 0.500
Cl1 0.017 0.690 0.323
Cl2 0.310 0.327 0.323
Cl3 0.327 0.017 0.677
Cl4 0.333 0.667 0.995
Cl5 0.667 0.333 0.005
Cl6 0.673 0.983 0.323
Cl7 0.690 0.673 0.677
Cl8 0.983 0.310 0.677

---

Entry 2:
The following is a DFT calculation (GGA-PBE) of a relaxed NbSbSe2Br crystal.

Computed properties:
**Formation energy (no corrections)**: 3.9 eV per formula unit

a b c (Å): 5.395 5.395 5.279
angles (deg): 90.00 90.00 90.00
Atoms (fractional coordinates):
Nb1 0.000 0.000 0.000
Sb1 0.500 0.500 0.500
Se1 0.000 0.500 0.500
Se2 0.500 0.000 0.500
Br1 0.500 0.500 0.000